1.
A relaxed YFeCoSi3 crystal, computed with PBE.

## Properties
Formation energy without anion corrections = -0.36 eV per atom
Energy = -6.748 eV/atom

The structure in CIF format:
```
data_YFeCoSi3
_chemical_formula_sum 'Y4 Fe4 Co4 Si12'
_space_group_name_H-M_alt 'C m c m'
_space_group_IT_number 63
_space_group_name_Hall '-C 2c 2'
_cell_length_a 5.971
_cell_length_b 11.581
_cell_length_c 5.675
_cell_angle_alpha 90.00
_cell_angle_beta 90.00
_cell_angle_gamma 90.00
loop_
_atom_site_label
_atom_site_type_symbol
_atom_site_fract_x
_atom_site_fract_y
_atom_site_fract_z
Y1 Y 0.000 0.226 0.250
Fe1 Fe 0.000 0.028 0.750
Co1 Co 0.000 0.391 0.750
Si1 Si 0.000 0.210 0.750
Si2 Si 0.206 0.500 0.000
```

2.
A relaxed SrCaPmSm crystal, computed with PBE.

## Properties
Energy = -3.118 eV/atom
ΔE_f = 0.170 eV/atom

The structure in CIF format:
```
data_SrCaPmSm
_chemical_formula_sum 'Sr4 Ca4 Pm4 Sm4'
_space_group_name_H-M_alt 'F -4 3 m'
_space_group_IT_number 216
_space_group_name_Hall 'F -4 2 3'
_cell_length_a 8.551
_cell_length_b 8.551
_cell_length_c 8.551
_cell_angle_alpha 90.00
_cell_angle_beta 90.00
_cell_angle_gamma 90.00
loop_
_atom_site_label
_atom_site_type_symbol
_atom_site_fract_x
_atom_site_fract_y
_atom_site_fract_z
Sr1 Sr 0.000 0.000 0.000
Ca1 Ca 0.250 0.250 0.750
Pm1 Pm 0.250 0.250 0.250
Sm1 Sm 0.000 0.000 0.500
```

3.
A relaxed Sm2YIO8 crystal, computed with PBE.

## Properties
Formation energy without anion corrections = -2.28 eV per atom
Energy = -7.045 eV/atom

The structure in CIF format:
```
data_Sm2YIO8
_chemical_formula_sum 'Sm4 Y2 I2 O16'
_space_group_name_H-M_alt 'C m m m'
_space_group_IT_number 65
_space_group_name_Hall '-C 2 2'
_cell_length_a 7.170
_cell_length_b 7.298
_cell_length_c 6.931
_cell_angle_alpha 90.00
_cell_angle_beta 90.00
_cell_angle_gamma 90.00
loop_
_atom_site_label
_atom_site_type_symbol
_atom_site_fract_x
_atom_site_fract_y
_atom_site_fract_z
Sm1 Sm 0.000 0.000 0.250
Y1 Y 0.000 0.500 0.000
I1 I 0.000 0.500 0.500
O1 O 0.000 0.323 0.294
O2 O 0.195 0.000 0.000
O3 O 0.236 0.000 0.500
```

Number 1: total magnetization 0.00 μB/atom. Number 2: total magnetization 0.00 μB/atom. Number 3: total magnetization 0.00 μB/atom.